# Pt | Alexandria | meta-GGA SCAN | single point on PBEsol structure
data_Pt
_chemical_formula_sum 'Pt2'
_cell_length_a 3.350
_cell_length_b 3.350
_cell_length_c 2.699
_cell_angle_alpha 90.00
_cell_angle_beta 90.00
_cell_angle_gamma 90.00
_space_group_name_H-M_alt 'I 4/m m m'
_space_group_IT_number 139
_space_group_name_Hall '-I 4 2'
loop_
_atom_site_label
_atom_site_fract_x
_atom_site_fract_y
_atom_site_fract_z
Pt1 0.000 0.000 0.000
# Total magnetic moment, μB per formula unit: 0.00
# Energy of formation from the pure elements, eV per atom: 0.00
# Distance to the lowest polymorph of the same formula, eV per formula unit: 0.000